No. 1
# CeSmDyEr

A relaxed structure of CeSmDyEr (GGA-PBE, the Alexandria database).

Cell lengths 5.663, 5.663, 5.663 Å; angles 60.00, 60.00, 60.00 degrees
Site moments in Bohr magnetons follow the coordinates.
Positions (direct):
Ce1 0.000 0.000 0.000  0.65
Dy1 0.250 0.250 0.250  0.04
Er1 0.750 0.750 0.750  0.03
Sm1 0.500 0.500 0.500  0.02

E in hartree per atom: -0.1760
Density in g/cm3: 8.0
M_tot in μB/atom: 0.22
Energy of formation from the pure elements in eV/atom: 0.166



No. 2
# CeSm2Dy4Er

A relaxed structure of CeSm2Dy4Er (GGA-PBE, the Alexandria database).

Cell lengths 3.557, 11.785, 6.149 Å; angles 79.87, 90.00, 90.00 degrees
Site moments in Bohr magnetons follow the coordinates.
Positions (direct):
Dy1 0.500 0.254 0.745  0.01
Er1 0.500 0.500 0.000  0.02
Dy2 0.000 0.747 0.749  0.00
Sm1 0.000 0.000 0.000  -0.01
Dy3 0.500 0.746 0.255  0.01
Dy4 0.000 0.253 0.251  0.00
Sm2 0.500 0.000 0.500  -0.01
Ce1 0.000 0.500 0.500  0.65

E in hartree per atom: -0.1747
Density in g/cm3: 8.2
M_tot in μB/atom: 0.10
Energy of formation from the pure elements in eV/atom: 0.039



No. 3
# Ce2Sm3Dy6Er

A relaxed structure of Ce2Sm3Dy6Er (GGA-PBE, the Alexandria database).

Cell lengths 6.159, 6.159, 11.757 Å; angles 95.01, 95.01, 119.99 degrees
Site moments in Bohr magnetons follow the coordinates.
Positions (direct):
Sm1 0.500 0.500 0.500  -0.01
Dy1 0.582 0.917 0.753  0.02
Dy2 0.253 0.253 0.753  0.01
Dy3 0.747 0.747 0.247  0.01
Ce1 0.334 0.666 0.000  0.72
Er1 0.000 0.000 0.000  0.07
Dy4 0.418 0.083 0.247  0.02
Sm2 0.834 0.166 0.500  -0.01
Sm3 0.166 0.834 0.500  -0.01
Ce2 0.666 0.334 0.000  0.72
Dy5 0.917 0.582 0.753  0.02
Dy6 0.083 0.418 0.247  0.02

E in hartree per atom: -0.1766
Density in g/cm3: 8.2
M_tot in μB/atom: 0.16
Energy of formation from the pure elements in eV/atom: 0.045



No. 4
# CeSmDy2Er

A relaxed structure of CeSmDy2Er (GGA-PBE, the Alexandria database).

Cell lengths 7.148, 7.757, 5.861 Å; angles 90.00, 90.00, 90.00 degrees
Site moments in Bohr magnetons follow the coordinates.
Positions (direct):
Dy1 0.320 0.708 0.250  0.06
Ce1 0.000 0.000 0.500  1.02
Er1 0.390 0.000 0.750  0.12
Sm1 0.162 0.500 0.750  0.01
Ce2 0.000 0.000 0.000  1.02
Dy2 0.320 0.292 0.250  0.06
Er2 0.610 0.000 0.250  0.12
Dy3 0.680 0.292 0.750  0.06
Dy4 0.680 0.708 0.750  0.06
Sm2 0.838 0.500 0.250  0.01

E in hartree per atom: -0.1688
Density in g/cm3: 8.0
M_tot in μB/atom: 0.33
Energy of formation from the pure elements in eV/atom: 0.291



No. 5
# Tb6Ce2DyEr3

A relaxed structure of Tb6Ce2DyEr3 (GGA-PBE, the Alexandria database).

Cell lengths 6.126, 6.126, 11.731 Å; angles 95.00, 95.00, 120.00 degrees
Site moments in Bohr magnetons follow the coordinates.
Positions (direct):
Er1 0.834 0.166 0.500  -0.02
Tb1 0.581 0.916 0.750  0.01
Ce1 0.667 0.333 0.000  0.74
Ce2 0.333 0.667 0.000  0.74
Tb2 0.251 0.251 0.750  0.01
Er2 0.500 0.500 0.500  -0.02
Er3 0.166 0.834 0.500  -0.02
Tb3 0.749 0.749 0.250  0.01
Tb4 0.419 0.084 0.250  0.01
Tb5 0.916 0.581 0.750  0.01
Tb6 0.084 0.419 0.250  0.01
Dy1 0.000 0.000 0.000  0.06

E in hartree per atom: -0.1757
Density in g/cm3: 8.4
M_tot in μB/atom: 0.16
Energy of formation from the pure elements in eV/atom: 0.049



No. 6
# Tb3Ce2Dy6Er

A relaxed structure of Tb3Ce2Dy6Er (GGA-PBE, the Alexandria database).

Cell lengths 6.127, 6.127, 11.724 Å; angles 95.00, 95.00, 119.99 degrees
Site moments in Bohr magnetons follow the coordinates.
Positions (direct):
Er1 0.000 0.000 0.000  0.07
Dy1 0.252 0.252 0.751  0.01
Dy2 0.748 0.748 0.249  0.01
Dy3 0.083 0.418 0.248  0.01
Dy4 0.418 0.083 0.248  0.01
Dy5 0.582 0.917 0.752  0.01
Tb1 0.166 0.834 0.500  -0.02
Tb2 0.500 0.500 0.500  -0.02
Ce1 0.666 0.334 0.000  0.72
Dy6 0.917 0.582 0.752  0.01
Tb3 0.834 0.166 0.500  -0.02
Ce2 0.334 0.666 0.000  0.72

E in hartree per atom: -0.1758
Density in g/cm3: 8.4
M_tot in μB/atom: 0.15
Energy of formation from the pure elements in eV/atom: 0.045



No. 7
# TbCeDyEr2

A relaxed structure of TbCeDyEr2 (GGA-PBE, the Alexandria database).

Cell lengths 6.744, 8.061, 5.864 Å; angles 89.97, 90.00, 90.00 degrees
Site moments in Bohr magnetons follow the coordinates.
Positions (direct):
Tb1 0.166 0.500 0.750  0.04
Dy1 0.587 0.000 0.250  0.10
Er1 0.311 0.302 0.250  0.07
Tb2 0.834 0.500 0.250  0.04
Dy2 0.413 0.000 0.750  0.10
Er2 0.311 0.698 0.250  0.07
Er3 0.689 0.302 0.750  0.07
Ce1 0.000 0.000 0.000  1.06
Ce2 0.000 0.000 0.500  1.06
Er4 0.689 0.698 0.750  0.07

E in hartree per atom: -0.1673
Density in g/cm3: 8.3
M_tot in μB/atom: 0.35
Energy of formation from the pure elements in eV/atom: 0.306



No. 8
# Tb2CeDyEr

A relaxed structure of Tb2CeDyEr (GGA-PBE, the Alexandria database).

Cell lengths 6.716, 8.098, 5.899 Å; angles 90.97, 90.00, 90.00 degrees
Site moments in Bohr magnetons follow the coordinates.
Positions (direct):
Er1 0.163 0.500 0.750  0.02
Ce1 0.000 0.000 0.000  1.05
Tb1 0.309 0.303 0.245  0.06
Dy1 0.584 0.000 0.250  0.09
Tb2 0.691 0.697 0.755  0.06
Tb3 0.309 0.697 0.255  0.06
Dy2 0.416 0.000 0.750  0.09
Ce2 0.000 0.000 0.500  1.05
Tb4 0.691 0.303 0.745  0.06
Er2 0.837 0.500 0.250  0.02

E in hartree per atom: -0.1679
Density in g/cm3: 8.2
M_tot in μB/atom: 0.33
Energy of formation from the pure elements in eV/atom: 0.303



No. 9
# Tb2CeDy4Er

A relaxed structure of Tb2CeDy4Er (GGA-PBE, the Alexandria database).

Cell lengths 3.537, 6.124, 11.733 Å; angles 79.94, 90.00, 90.00 degrees
Site moments in Bohr magnetons follow the coordinates.
Positions (direct):
Dy1 0.500 0.746 0.251  0.01
Dy2 0.000 0.747 0.750  0.00
Dy3 0.000 0.253 0.250  0.00
Dy4 0.500 0.254 0.749  0.01
Tb1 0.000 0.000 0.000  -0.02
Er1 0.500 0.500 0.000  -0.01
Tb2 0.500 0.000 0.500  0.02
Ce1 0.000 0.500 0.500  0.65

E in hartree per atom: -0.1738
Density in g/cm3: 8.5
M_tot in μB/atom: 0.10
Energy of formation from the pure elements in eV/atom: 0.040



No. 10
# Tb5CeDy2Er

A relaxed structure of Tb5CeDy2Er (GGA-PBE, the Alexandria database).

Cell lengths 5.692, 11.134, 9.544 Å; angles 90.00, 90.00, 104.81 degrees
Site moments in Bohr magnetons follow the coordinates.
Positions (direct):
Er1 0.597 0.195 0.929  -0.02
Ce1 0.190 0.380 0.019  0.53
Tb1 0.395 0.789 0.045  -0.01
Tb2 0.305 0.610 0.712  0.02
Tb3 0.695 0.390 0.212  0.02
Dy1 0.886 0.772 0.823  0.01
Tb4 0.268 0.535 0.330  0.02
Dy2 0.132 0.264 0.708  0.01
Tb5 0.014 0.028 0.011  -0.01
Tb6 0.529 0.058 0.248  -0.02
Tb7 0.986 0.972 0.511  -0.01
Dy3 0.868 0.736 0.208  0.01
Er2 0.403 0.805 0.429  -0.02
Tb8 0.471 0.942 0.748  -0.02
Ce2 0.810 0.620 0.519  0.53
Dy4 0.114 0.228 0.323  0.01
Tb9 0.605 0.211 0.545  -0.01
Tb10 0.732 0.465 0.830  0.02

E in hartree per atom: -0.1688
Density in g/cm3: 8.1
M_tot in μB/atom: 0.07
Energy of formation from the pure elements in eV/atom: 0.168



No. 11
# TbCe2Dy6Er3

A relaxed structure of TbCe2Dy6Er3 (GGA-PBE, the Alexandria database).

Cell lengths 6.110, 6.110, 11.705 Å; angles 95.01, 95.01, 119.98 degrees
Site moments in Bohr magnetons follow the coordinates.
Positions (direct):
Er1 0.166 0.834 0.500  -0.02
Tb1 0.000 0.000 0.000  0.05
Dy1 0.749 0.749 0.250  0.01
Dy2 0.916 0.580 0.750  0.01
Ce1 0.333 0.667 0.000  0.72
Dy3 0.084 0.420 0.250  0.01
Dy4 0.580 0.916 0.750  0.01
Er2 0.834 0.166 0.500  -0.02
Er3 0.500 0.500 0.500  -0.02
Dy5 0.251 0.251 0.750  0.01
Ce2 0.667 0.333 0.000  0.72
Dy6 0.420 0.084 0.250  0.01

E in hartree per atom: -0.1752
Density in g/cm3: 8.5
M_tot in μB/atom: 0.15
Energy of formation from the pure elements in eV/atom: 0.048



No. 12
# Tb3Ce2DyEr6

A relaxed structure of Tb3Ce2DyEr6 (GGA-PBE, the Alexandria database).

Cell lengths 6.103, 6.103, 11.647 Å; angles 95.01, 95.01, 119.99 degrees
Site moments in Bohr magnetons follow the coordinates.
Positions (direct):
Er1 0.581 0.917 0.751  0.01
Ce1 0.667 0.333 0.000  0.70
Er2 0.252 0.252 0.751  0.01
Er3 0.419 0.083 0.249  0.01
Tb1 0.166 0.834 0.500  -0.02
Dy1 0.000 0.000 0.000  0.05
Tb2 0.500 0.500 0.500  -0.02
Er4 0.917 0.581 0.751  0.01
Tb3 0.834 0.166 0.500  -0.02
Ce2 0.333 0.667 0.000  0.70
Er5 0.083 0.419 0.249  0.01
Er6 0.748 0.748 0.249  0.01

E in hartree per atom: -0.1752
Density in g/cm3: 8.6
M_tot in μB/atom: 0.15
Energy of formation from the pure elements in eV/atom: 0.045